# 1
{"formula": "CoPbCl2", "functional": "PBE", "state": "relaxed", "lattice": [[-3.217, -0.955, 0.280], [0.038, -1.644, -5.172], [1.459, -5.158, -0.830]], "species": ["Pb", "Cl", "Cl", "Co"], "frac_coords": [[0.500, 0.750, 0.750], [0.000, 0.417, 0.417], [0.000, 0.083, 0.083], [0.500, 0.250, 0.250]], "vol_a3_per_atom": 22.309, "crystal_system": "orthorhombic", "magmom_total_mub_per_cell": 1.133, "raw_formation_energy_ev_per_atom": -0.2689, "e_tot_ev_per_atom": -3.8958}

=====

# 2
{"formula": "GdGa2Pd", "functional": "PBE", "state": "relaxed", "lattice": [[-1.315, -1.153, -4.163], [-1.277, -3.694, 1.426], [-3.770, 1.593, 0.750]], "species": ["Pd", "Gd", "Ga", "Ga"], "frac_coords": [[0.500, 0.500, 0.500], [0.500, 0.000, 0.000], [0.000, 0.000, 0.500], [0.000, 0.500, 0.000]], "vol_a3_per_atom": 19.541, "crystal_system": "tetragonal", "magmom_total_mub_per_cell": 7.357, "e_tot_ev_per_atom": -6.9004}

=====

# 3
{"formula": "KRb2BiPd", "functional": "PBE", "state": "relaxed", "lattice": [[-3.199, -1.697, 5.412], [2.921, -5.818, -0.098], [4.007, 1.961, 2.983]], "species": ["Pd", "Bi", "K", "Rb", "Rb"], "frac_coords": [[0.000, 0.000, 0.000], [0.000, 0.000, 0.500], [0.500, 0.500, 0.500], [0.500, 0.000, 0.000], [0.000, 0.500, 0.000]], "vol_a3_per_atom": 45.508, "crystal_system": "tetragonal", "magmom_total_mub_per_cell": 0.017, "e_tot_ev_per_atom": -2.5543}

=====

# 4
{"formula": "Be2HgH6", "functional": "PBE", "state": "relaxed", "lattice": [[9.621, -1.631, 1.376], [0.893, 6.768, 1.933], [0.792, 1.137, 2.076]], "species": ["H", "Hg", "H", "H", "Be", "Be", "H", "H", "H"], "frac_coords": [[0.376, 0.749, 0.476], [0.000, 0.000, 0.000], [0.712, 0.287, 0.323], [0.624, 0.251, 0.524], [0.749, 0.826, 0.197], [0.251, 0.174, 0.803], [0.354, 0.245, 0.021], [0.288, 0.713, 0.677], [0.646, 0.755, 0.979]], "vol_a3_per_atom": 12.065, "crystal_system": "triclinic", "magmom_total_mub_per_cell": 0.000, "e_tot_ev_per_atom": -2.8124}

=====

# 5
{"formula": "Re2TcAg", "functional": "PBE", "state": "relaxed", "lattice": [[-0.754, 3.674, -3.166], [-1.560, 1.330, -4.460], [-4.574, 1.061, 0.925]], "species": ["Tc", "Re", "Re", "Ag"], "frac_coords": [[0.250, 0.250, 0.250], [0.989, 0.989, 0.022], [0.511, 0.511, 0.478], [0.750, 0.750, 0.750]], "vol_a3_per_atom": 15.439, "crystal_system": "monoclinic", "magmom_total_mub_per_cell": 0.000, "e_tot_ev_per_atom": -9.1011}

=====

# 6
{"formula": "RePt2Br", "functional": "PBE", "state": "relaxed", "lattice": [[5.107, -0.014, 0.000], [-2.168, 4.624, 0.000], [0.000, 0.000, 2.792]], "species": ["Pt", "Pt", "Re", "Br"], "frac_coords": [[0.500, 0.500, 0.000], [0.000, 0.000, 0.000], [0.500, 0.000, 0.500], [0.000, 0.500, 0.500]], "vol_a3_per_atom": 16.464, "crystal_system": "orthorhombic", "magmom_total_mub_per_cell": 0.000, "raw_formation_energy_ev_per_atom": 0.8196, "e_tot_ev_per_atom": -5.7310}

=====

# 7
{"formula": "Mg2ZrTi", "functional": "PBE", "state": "relaxed", "lattice": [[3.420, 0.000, 0.000], [0.000, 3.420, 0.000], [0.000, 0.000, 6.970]], "species": ["Mg", "Ti", "Zr", "Mg"], "frac_coords": [[0.000, 0.000, 0.767], [0.500, 0.500, 0.000], [0.500, 0.500, 0.500], [0.000, 0.000, 0.233]], "vol_a3_per_atom": 20.377, "crystal_system": "tetragonal", "magmom_total_mub_per_cell": 0.000, "e_tot_ev_per_atom": -4.7310}

=====

# 8
{"formula": "Sm4DyS6", "functional": "PBE", "state": "relaxed", "lattice": [[-2.633, 1.669, 2.326], [-2.571, -6.130, -1.765], [8.903, -8.363, 16.075]], "species": ["Dy", "Sm", "S", "S", "S", "Sm", "Sm", "S", "S", "S", "S", "Sm", "Sm", "Sm", "Sm", "S", "S", "S", "S", "Dy", "S", "Sm"], "frac_coords": [[0.347, 0.695, 0.750], [0.410, 0.819, 0.129], [0.054, 0.108, 0.170], [0.500, 0.000, 0.000], [0.301, 0.603, 0.250], [0.410, 0.819, 0.371], [0.590, 0.181, 0.629], [0.771, 0.541, 0.410], [0.946, 0.892, 0.670], [0.771, 0.541, 0.090], [0.229, 0.459, 0.590], [0.140, 0.279, 0.460], [0.860, 0.721, 0.960], [0.140, 0.279, 0.040], [0.590, 0.181, 0.871], [0.054, 0.108, 0.330], [0.229, 0.459, 0.910], [0.946, 0.892, 0.830], [0.500, 0.000, 0.500], [0.653, 0.305, 0.250], [0.699, 0.397, 0.750], [0.860, 0.721, 0.540]], "vol_a3_per_atom": 23.548, "crystal_system": "orthorhombic", "magmom_total_mub_per_cell": 0.000, "raw_formation_energy_ev_per_atom": -2.0284, "e_tot_ev_per_atom": -6.4142}